Entry 1:
First-principles (PBE-GGA) data for a geometry-optimized ZnCr2PRu structure, as listed in Alexandria via LeMat-Bulk.

a b c (Å): 4.579 4.579 4.518
angles (deg): 90.00 90.00 90.00
Element x y z (fractional)
Zn (0.000, 0.000, 0.000)
Cr (0.000, 0.500, 0.000)
Cr (0.500, 0.000, 0.000)
P (0.500, 0.500, 0.500)
Ru (0.000, 0.000, 0.500)

Results
- Size of the total moment: 6.99 μB per formula unit
- Energy of formation from the pure elements: 1.405 eV per atom

---

Entry 2:
First-principles (PBE-GGA) data for a geometry-optimized PuIn2Bi structure, as listed in Alexandria via LeMat-Bulk.

a b c (Å): 4.029 4.029 6.882
angles (deg): 90.00 90.00 90.00
Element x y z (fractional)
Pu (0.000, 0.000, 0.000)
In (0.500, 0.500, 0.264)
In (0.500, 0.500, 0.736)
Bi (0.000, 0.000, 0.500)

Results
- Size of the total moment: 6.22 μB per formula unit
- Energy of formation from the pure elements: -0.057 eV per atom
- Energy relative to the lowest polymorph listed for this composition: 208 meV per atom

---

Entry 3:
First-principles (PBE-GGA) data for a geometry-optimized LiYCoGe structure, as listed in Alexandria via LeMat-Bulk.

a b c (Å): 4.464 4.464 4.464
angles (deg): 60.00 60.00 60.00
Element x y z (fractional)
Li (0.000, 0.000, 0.000)
Y (0.750, 0.750, 0.750)
Co (0.500, 0.500, 0.500)
Ge (0.250, 0.250, 0.250)

Results
- Size of the total moment: 0.82 μB per formula unit
- Energy of formation from the pure elements: -0.349 eV per atom